1.
DFT (GGA-PBE) results for crystalline TaCrH3 at its relaxed geometry.

abc: 3.582 3.582 3.582
angles: 90.00 90.00 90.00
Space group Pm-3m (No. 221)
Asymmetric unit:
Ta 0.000 0.000 0.000 (multiplicity 1)
Cr 0.500 0.500 0.500 (multiplicity 1)
H 0.000 0.000 0.500 (multiplicity 3)

## Properties
size of the total moment	0.611	μB/atom
DFT total energy	-5.949	eV/atom

---

2.
DFT (GGA-PBE) results for crystalline Ta5Cr3H12 at its relaxed geometry.

abc: 10.949 10.949 10.949
angles: 90.00 90.00 90.00
Space group Ia-3d (No. 230)
Asymmetric unit:
Ta 0.000 0.000 0.000 (multiplicity 16)
Ta 0.000 0.250 0.375 (multiplicity 24)
Cr 0.000 0.250 0.125 (multiplicity 24)
H 0.003 0.073 0.157 (multiplicity 96)

## Properties
size of the total moment	0.343	μB/atom
DFT total energy	-6.403	eV/atom

---

3.
DFT (GGA-PBE) results for crystalline TaCrH3 at its relaxed geometry.

abc: 7.430 8.360 5.098
angles: 90.00 104.41 90.00
Space group C2/c (No. 15)
Asymmetric unit:
Ta 0.000 0.106 0.250 (multiplicity 4)
Ta 0.000 0.351 0.750 (multiplicity 4)
Cr 0.193 0.385 0.331 (multiplicity 8)
H 0.071 0.116 0.638 (multiplicity 8)
H 0.154 0.240 0.092 (multiplicity 8)
H 0.223 0.442 0.010 (multiplicity 8)

## Properties
size of the total moment	0.000	μB/atom
DFT total energy	-6.252	eV/atom

---

Question: Among the records above, which one has the lowest DFT total energy?
Answer: Ta5Cr3H12

---

Copy entry 2 word for word.
DFT (GGA-PBE) results for crystalline Ta5Cr3H12 at its relaxed geometry.

abc: 10.949 10.949 10.949
angles: 90.00 90.00 90.00
Space group Ia-3d (No. 230)
Asymmetric unit:
Ta 0.000 0.000 0.000 (multiplicity 16)
Ta 0.000 0.250 0.375 (multiplicity 24)
Cr 0.000 0.250 0.125 (multiplicity 24)
H 0.003 0.073 0.157 (multiplicity 96)

## Properties
size of the total moment	0.343	μB/atom
DFT total energy	-6.403	eV/atom

---

Question: Which of these has the lowest size of the total moment?
Answer: number 3

---

Question: size of the total moment of number 1 (TaCrH3)?
Answer: 0.611 μB/atom